<one>
{"formula": "RbZr3Te", "functional": "PBE-GGA", "state": "relaxed", "lattice_angstrom": [[-1.768, 1.139, -4.655], [2.746, -3.826, -1.979], [-3.928, -3.187, 0.712]], "species": ["Rb", "Te", "Zr", "Zr", "Zr"], "fractional_positions": [[0.000, 0.000, 0.000], [0.500, 0.500, 0.500], [0.000, 0.000, 0.500], [0.000, 0.500, 0.000], [0.500, 0.000, 0.000]], "sg": "No. 221", "dos_ef_per_ev_atom": 1.746}



<two>
{"formula": "RbZr3Te", "functional": "PBE-GGA", "state": "relaxed", "lattice_angstrom": [[5.482, 0.000, 0.000], [0.000, 5.482, 0.000], [0.000, 0.000, 5.482]], "species": ["Te", "Rb", "Zr", "Zr", "Zr"], "fractional_positions": [[0.000, 0.000, 0.000], [0.500, 0.500, 0.500], [0.000, 0.500, 0.000], [0.000, 0.000, 0.500], [0.500, 0.000, 0.000]], "sg": "No. 221", "dos_ef_per_ev_atom": 0.977}



Result of the stability comparison: <one> is the least stable of them.